Computed, not measured: a relaxed Dy3Y3Th2 crystal at the PBE-GGA level of DFT.

abc: 10.737 10.737 10.737
angles: 152.86 152.86 38.76
Positions (direct):
Dy 0.000 0.000 0.000
Dy 0.372 0.872 0.500
Dy 0.628 0.128 0.500
Y 0.127 0.627 0.500
Y 0.500 0.500 0.000
Y 0.873 0.373 0.500
Th 0.250 0.250 0.000
Th 0.750 0.750 0.000

Summary:
**Formation energy from the elements**: 0.025 eV/atom
**Fermi-level density of states**: 8.7 states/eV/f.u.
**Offset from the most stable computed form**: 0.0 kJ per mole of atoms
**Density**: 7.87 g/cm3
**SG**: Immm (71)

Computed, not measured: a relaxed US2I8 crystal at the PBE-GGA level of DFT.

abc: 8.928 8.928 8.440
angles: 113.97 113.97 90.28
Positions (direct):
U 0.000 0.000 0.000
S 0.078 0.078 0.778
S 0.922 0.922 0.222
I 0.145 0.747 0.164
I 0.253 0.855 0.836
I 0.265 0.265 0.334
I 0.369 0.369 0.924
I 0.631 0.631 0.076
I 0.735 0.735 0.666
I 0.747 0.145 0.164
I 0.855 0.253 0.836

Summary:
**Density**: 3.98 g/cm3
**SG**: C2/m (12)
**Formation energy from raw total energies**: -3.7 eV per formula unit

Computed, not measured: a relaxed NaPa2Nb3N6 crystal at the PBE-GGA level of DFT.

abc: 7.346 7.346 6.578
angles: 104.54 104.54 25.85
Positions (direct):
Na 0.000 0.000 0.000
Pa 0.339 0.339 0.680
Pa 0.661 0.661 0.320
Nb 0.000 0.000 0.500
Nb 0.339 0.339 0.183
Nb 0.661 0.661 0.817
N 0.161 0.161 0.590
N 0.170 0.170 0.066
N 0.498 0.498 0.269
N 0.502 0.502 0.731
N 0.830 0.830 0.934
N 0.839 0.839 0.410

Summary:
**Fermi-level density of states**: 5.2 states/eV/f.u.
**Density**: 9.41 g/cm3
**SG**: C2/m (12)
**Formation energy from raw total energies**: -14.3 eV per formula unit

Computed, not measured: a relaxed BeAuS2Cl crystal at the PBE-GGA level of DFT.

abc: 4.532 4.532 4.215
angles: 90.00 90.00 90.00
Positions (direct):
Be 0.000 0.000 0.000
Au 0.500 0.500 0.500
S 0.000 0.500 0.000
S 0.500 0.000 0.000
Cl 0.000 0.000 0.500

Summary:
**Fermi-level density of states**: 5.5 states/eV/f.u.
**Offset from the most stable computed form**: 0.0 kJ per mole of atoms
**Density**: 5.86 g/cm3
**SG**: P4/mmm (123)
**Formation energy from raw total energies**: 1.8 eV per formula unit

Computed, not measured: a relaxed CaMo4W crystal at the PBE-GGA level of DFT.

abc: 5.332 5.332 5.332
angles: 60.00 60.00 60.00
Positions (direct):
Ca 0.000 0.000 0.000
Mo 0.126 0.625 0.625
Mo 0.625 0.126 0.625
Mo 0.625 0.625 0.126
Mo 0.625 0.625 0.625
W 0.250 0.250 0.250

Summary:
**Formation energy from the elements**: 0.426 eV/atom
**Fermi-level density of states**: 2.6 states/eV/f.u.
**Density**: 9.41 g/cm3
**SG**: F-43m (216)

Computed, not measured: a relaxed HoSc2Ni3 crystal at the PBE-GGA level of DFT.

abc: 3.226 3.226 9.732
angles: 90.00 90.00 90.00
Positions (direct):
Ho 0.000 0.000 0.000
Sc 0.000 0.000 0.340
Sc 0.000 0.000 0.660
Ni 0.500 0.500 0.186
Ni 0.500 0.500 0.500
Ni 0.500 0.500 0.814

Summary:
**Formation energy from the elements**: -0.463 eV/atom
**Fermi-level density of states**: 4.1 states/eV/f.u.
**Density**: 7.06 g/cm3
**SG**: P4/mmm (123)